No. 1
SrAlHg2Sb, relaxed, DFT GGA-PBE; magnetic moment = 0.000 μB/f.u.; uncorrected formation energy = -0.2396 eV per atom; volume = 152.3 Å³ per cell
1.0
5.188 0.000 0.000
0.000 5.188 0.000
0.000 0.000 5.660
Sb Al Hg Sr
1 1 2 1
Cartesian
0.000 0.000 2.830
0.000 0.000 0.000
0.000 2.594 0.000
2.594 0.000 0.000
2.594 2.594 2.830

No. 2
Y2TiFe2, relaxed, DFT GGA-PBE; calculated formation energy = 606 meV per atom; magnetic moment = 1.477 μB/f.u.; volume = 108.3 Å³ per cell
1.0
-3.490 2.242 -1.330
1.154 -0.664 -4.148
-4.232 -4.028 -2.820
Y Fe Ti
2 2 1
Cartesian
-4.445 -0.499 -3.444
-2.123 -1.951 -4.853
-1.714 -0.069 -2.753
-4.854 -2.381 -5.544
0.000 0.000 0.000